(1)
VASP calculation (SCAN) on a PBEsol-optimized structure of Co5Re.

a b c (Å): 2.5355 3.9883 6.5988
angles (deg): 90.00 101.08 90.00
Last column: nearest neighbours and their distance in Å.
Fractional positions:
Co (0.6710, 0.0000, 0.3419)  8 Co 2.45-2.60, 4 Re 2.49
Co (0.4406, 0.5000, 0.8812)  10 Co 2.41-2.54, 2 Re 2.54
Co (0.3331, 0.0000, 0.6663)  12 Co 2.43-2.54
Re (0.1101, 0.5000, 0.2202)  10 Co 2.48-2.57, 2 Re 2.54
Co (0.7825, 0.5000, 0.5650)  10 Co 2.41-2.54, 2 Re 2.57
Co (0.9960, 0.0000, 0.9921)  10 Co 2.46-2.60, 2 Re 2.48

## Properties
Crystal system: orthorhombic
Distance to the lowest polymorph of the same formula in eV per formula unit: 0.29
Formation energy from the elements in kJ/mol of formula units: 86.7
DOS(E_F) in states/eV/cell: 4.92

(2)
VASP calculation (SCAN) on a PBEsol-optimized structure of Zr2Sc.

a b c (Å): 3.1853 4.4000 5.4940
angles (deg): 113.61 106.85 90.00
Last column: nearest neighbours and their distance in Å.
Fractional positions:
Zr (0.3312, 0.3312, 0.6624)  7 Zr 3.13-3.23, 5 Sc 3.16
Sc (0.0000, 0.0000, 0.0000)  10 Zr 3.16, 2 Sc 3.19
Zr (0.6688, 0.6688, 0.3376)  7 Zr 3.13-3.23, 5 Sc 3.16

## Properties
Crystal system: orthorhombic
Formation energy from the elements in kJ/mol of formula units: 13.8
DOS(E_F) in states/eV/cell: 3.84

(3)
VASP calculation (SCAN) on a PBEsol-optimized structure of NaMo2IO.

a b c (Å): 4.3352 5.1179 5.1179
angles (deg): 90.00 90.00 90.00
Last column: nearest neighbours and their distance in Å.
Fractional positions:
I (0.0000, 0.0000, 0.0000)  2 O 2.17
Na (0.5000, 0.5000, 0.5000)  8 Mo 3.35, 4 O 3.62
O (0.5000, 0.0000, 0.0000)  2 I 2.17
Mo (0.0000, 0.0000, 0.5000)  2 I 2.56
Mo (0.0000, 0.5000, 0.0000)  2 I 2.56

## Properties
Crystal system: tetragonal
DOS(E_F) in states/eV/cell: 1.81
ΔE_f (raw) in meV/atom: 1492.0

(4)
VASP calculation (SCAN) on a PBEsol-optimized structure of KInSiC2.

a b c (Å): 4.6733 4.6733 5.5702
angles (deg): 90.00 90.00 90.00
Last column: nearest neighbours and their distance in Å.
Fractional positions:
C (0.0000, 0.5000, 0.0000)  2 K 2.34
In (0.5000, 0.5000, 0.5000)  4 Si 3.30, 8 C 3.64
Si (0.0000, 0.0000, 0.5000)  2 K 2.79
K (0.0000, 0.0000, 0.0000)  4 C 2.34
C (0.5000, 0.0000, 0.0000)  2 K 2.34

## Properties
Crystal system: tetragonal
DOS(E_F) in states/eV/cell: 3.54
ΔE_f (raw) in meV/atom: 3232.5

(5)
VASP calculation (SCAN) on a PBEsol-optimized structure of TaIr2Br.

a b c (Å): 3.0643 4.9387 6.5912
angles (deg): 102.50 90.00 108.07
Last column: nearest neighbours and their distance in Å.
Fractional positions:
Ir (0.9210, 0.8421, 0.8509)  2 Ta 2.49, 3 Ir 2.61-2.65, 1 Br 2.79
Br (0.8960, 0.7920, 0.2640)  2 Ta 2.64, 1 Ir 2.79
Ta (0.4922, 0.9844, 0.5931)  4 Ir 2.49-2.54, 2 Br 2.64
Ir (0.1908, 0.3816, 0.7919)  2 Ta 2.54, 3 Ir 2.61-2.65

## Properties
Crystal system: monoclinic
Distance to the lowest polymorph of the same formula in eV per formula unit: 0.00
DOS(E_F) in states/eV/cell: 0.81
ΔE_f (raw) in meV/atom: 91.6

(6)
VASP calculation (SCAN) on a PBEsol-optimized structure of ZnBN2.

a b c (Å): 4.2502 4.7189 4.2502
angles (deg): 116.77 90.00 116.77
Last column: nearest neighbours and their distance in Å.
Fractional positions:
N (0.1250, 0.7500, 0.5428)  2 B 1.57
N (0.4572, 0.2500, 0.3750)  2 B 1.57
B (0.5000, 0.0000, 0.5000)  4 N 1.57
B (0.7500, 0.5000, 0.2500)  4 N 1.57
N (0.6250, 0.7500, 0.2072)  2 B 1.57
Zn (0.0000, 0.0000, 0.0000)  4 N 1.99
N (0.7928, 0.2500, 0.8750)  2 B 1.57
Zn (0.2500, 0.5000, 0.7500)  4 N 1.99

## Properties
Crystal system: tetragonal
DOS(E_F) in states/eV/cell: 1.82
ΔE_f (raw) in meV/atom: -333.3

(7)
VASP calculation (SCAN) on a PBEsol-optimized structure of Si2OsI.

a b c (Å): 5.9234 5.9234 7.1327
angles (deg): 114.53 114.53 90.00
Last column: nearest neighbours and their distance in Å.
Fractional positions:
I (0.5000, 0.5000, 0.0000)  4 Si 2.92
I (0.7500, 0.2500, 0.5000)  4 Si 2.92
Si (0.6250, 0.7228, 0.7500)  2 Os 2.26
Os (0.2500, 0.7500, 0.5000)  4 Si 2.26
Si (0.2772, 0.8750, 0.2500)  2 Os 2.26
Si (0.1250, 0.0272, 0.7500)  2 Os 2.26
Os (0.0000, 0.0000, 0.0000)  4 Si 2.26
Si (0.9728, 0.3750, 0.2500)  2 Os 2.26

## Properties
Crystal system: tetragonal
DOS(E_F) in states/eV/cell: 3.58
ΔE_f (raw) in meV/atom: 536.3

(8)
VASP calculation (SCAN) on a PBEsol-optimized structure of La2YIr.

a b c (Å): 4.2360 4.2364 5.4279
angles (deg): 90.00 90.00 90.00
Last column: nearest neighbours and their distance in Å.
Fractional positions:
La (0.5000, 0.5000, 0.0000)  4 La 3.00
La (0.0000, 0.0000, 0.0000)  4 La 3.00
Y (0.5000, 0.0000, 0.5000)  4 Ir 3.00
Ir (0.0000, 0.5000, 0.5000)  4 Y 3.00

## Properties
Crystal system: tetragonal
Distance to the lowest polymorph of the same formula in eV per formula unit: 0.69
Formation energy from the elements in kJ/mol of formula units: -58.1
DOS(E_F) in states/eV/cell: 4.45

(9)
VASP calculation (SCAN) on a PBEsol-optimized structure of Cs3YF6.

a b c (Å): 6.9598 6.9598 6.9598
angles (deg): 60.00 60.00 60.00
Last column: nearest neighbours and their distance in Å.
Fractional positions:
Y (0.0000, 0.0000, 0.0000)  6 F 2.15
F (0.2189, 0.2189, 0.7811)  1 Y 2.15
F (0.2189, 0.7811, 0.7811)  1 Y 2.15
Cs (0.5000, 0.5000, 0.5000)  6 F 2.77
F (0.2189, 0.7811, 0.2189)  1 Y 2.15
F (0.7811, 0.7811, 0.2189)  1 Y 2.15
F (0.7811, 0.2189, 0.2189)  1 Y 2.15
F (0.7811, 0.2189, 0.7811)  1 Y 2.15
Cs (0.7500, 0.7500, 0.7500)  12 F 3.49
Cs (0.2500, 0.2500, 0.2500)  12 F 3.49

## Properties
Crystal system: cubic
DOS(E_F) in states/eV/cell: 0.00
ΔE_f (raw) in meV/atom: -3503.4

(10)
VASP calculation (SCAN) on a PBEsol-optimized structure of LaHf2Ni2.

a b c (Å): 4.4220 4.4220 5.9391
angles (deg): 111.86 111.86 90.00
Last column: nearest neighbours and their distance in Å.
Fractional positions:
La (0.0000, 0.0000, 0.0000)  8 Ni 3.35, 8 Hf 3.36
Hf (0.7500, 0.2500, 0.5000)  4 Ni 2.57
Hf (0.2500, 0.7500, 0.5000)  4 Ni 2.57
Ni (0.3799, 0.3799, 0.7597)  1 Ni 2.43, 4 Hf 2.57
Ni (0.6201, 0.6201, 0.2403)  1 Ni 2.43, 4 Hf 2.57

## Properties
Crystal system: tetragonal
Formation energy from the elements in kJ/mol of formula units: -152.8
DOS(E_F) in states/eV/cell: 3.39

(11)
VASP calculation (SCAN) on a PBEsol-optimized structure of TcHgPb2.

a b c (Å): 3.5168 4.6075 5.6571
angles (deg): 90.00 108.11 90.00
Last column: nearest neighbours and their distance in Å.
Fractional positions:
Tc (0.8295, 0.0000, 0.6591)  2 Hg 2.84, 7 Pb 2.91-3.03
Hg (0.6748, 0.5000, 0.3496)  2 Tc 2.84, 7 Pb 2.93-3.01
Pb (0.4021, 0.5000, 0.8041)  3 Hg 2.93-3.01, 4 Tc 3.00
Pb (0.1006, 0.0000, 0.2012)  3 Tc 2.91-3.03, 4 Hg 3.01

## Properties
Crystal system: orthorhombic
Formation energy from the elements in kJ/mol of formula units: 202.2
DOS(E_F) in states/eV/cell: 2.49

(12)
VASP calculation (SCAN) on a PBEsol-optimized structure of BeCo2Tc.

a b c (Å): 3.4207 3.4207 4.3235
angles (deg): 113.30 113.30 90.00
Last column: nearest neighbours and their distance in Å.
Fractional positions:
Be (0.2500, 0.7500, 0.5000)  8 Co 2.42-2.48, 4 Tc 2.48
Tc (0.5000, 0.5000, 0.0000)  8 Co 2.42-2.48, 4 Be 2.48
Co (0.7500, 0.2500, 0.5000)  4 Be 2.42, 4 Tc 2.48, 4 Co 2.48
Co (0.0000, 0.0000, 0.0000)  4 Tc 2.42, 4 Co 2.48, 4 Be 2.48

## Properties
Crystal system: tetragonal
Distance to the lowest polymorph of the same formula in eV per formula unit: 0.73
Formation energy from the elements in kJ/mol of formula units: 30.4
DOS(E_F) in states/eV/cell: 2.77

(13)
VASP calculation (SCAN) on a PBEsol-optimized structure of MgCdOF2.

a b c (Å): 4.2401 4.2401 4.2897
angles (deg): 90.00 90.00 90.00
Last column: nearest neighbours and their distance in Å.
Fractional positions:
O (0.0000, 0.0000, 0.5000)  2 Cd 2.14
Mg (0.5000, 0.5000, 0.5000)  4 O 3.00, 8 F 3.02
F (0.5000, 0.0000, 0.0000)  2 Cd 2.12
F (0.0000, 0.5000, 0.0000)  2 Cd 2.12
Cd (0.0000, 0.0000, 0.0000)  4 F 2.12, 2 O 2.14

## Properties
Crystal system: tetragonal
DOS(E_F) in states/eV/cell: 0.63
ΔE_f (raw) in meV/atom: -1579.2

(14)
VASP calculation (SCAN) on a PBEsol-optimized structure of K2Tl2Cd.

a b c (Å): 5.8703 7.6653 7.6653
angles (deg): 90.00 90.00 90.00
Last column: nearest neighbours and their distance in Å.
Fractional positions:
K (0.5000, 0.1786, 0.6786)  6 Tl 3.56-3.81, 1 K 3.87
Tl (0.0000, 0.1363, 0.3637)  1 Tl 2.96, 2 Cd 2.98
K (0.5000, 0.3214, 0.1786)  6 Tl 3.56-3.81, 1 K 3.87
Cd (0.0000, 0.0000, 0.0000)  4 Tl 2.98
Tl (0.0000, 0.6363, 0.1363)  1 Tl 2.96, 2 Cd 2.98
Tl (0.0000, 0.8637, 0.6363)  1 Tl 2.96, 2 Cd 2.98
K (0.5000, 0.6786, 0.8214)  6 Tl 3.56-3.81, 1 K 3.87
Tl (0.0000, 0.3637, 0.8637)  1 Tl 2.96, 2 Cd 2.98
Cd (0.0000, 0.5000, 0.5000)  4 Tl 2.98
K (0.5000, 0.8214, 0.3214)  6 Tl 3.56-3.81, 1 K 3.87

## Properties
Crystal system: tetragonal
Formation energy from the elements in kJ/mol of formula units: -51.1
DOS(E_F) in states/eV/cell: 5.92

(15)
VASP calculation (SCAN) on a PBEsol-optimized structure of KP2PbO.

a b c (Å): 4.3811 5.3467 5.3467
angles (deg): 90.00 90.00 90.00
Last column: nearest neighbours and their distance in Å.
Fractional positions:
P (0.0000, 0.0000, 0.5000)  2 Pb 2.67
K (0.5000, 0.5000, 0.5000)  8 P 3.46, 4 O 3.78
O (0.5000, 0.0000, 0.0000)  2 Pb 2.19
P (0.0000, 0.5000, 0.0000)  2 Pb 2.67
Pb (0.0000, 0.0000, 0.0000)  2 O 2.19

## Properties
Crystal system: tetragonal
DOS(E_F) in states/eV/cell: 1.56
ΔE_f (raw) in meV/atom: 345.1

(16)
VASP calculation (SCAN) on a PBEsol-optimized structure of RhSeCl.

a b c (Å): 3.4937 3.4937 5.7826
angles (deg): 90.00 90.00 120.00
Last column: nearest neighbours and their distance in Å.
Fractional positions:
Se (0.3333, 0.6667, 0.5658)  3 Rh 2.39
Cl (0.0000, 0.0000, 0.0898)  3 Rh 2.50
Rh (0.6667, 0.3333, 0.3445)  3 Se 2.39, 3 Cl 2.50

## Properties
Crystal system: trigonal
DOS(E_F) in states/eV/cell: 0.00
ΔE_f (raw) in meV/atom: -724.5

(17)
VASP calculation (SCAN) on a PBEsol-optimized structure of SrCaSb2.

a b c (Å): 3.5148 5.5119 6.5330
angles (deg): 90.00 90.00 90.00
Last column: nearest neighbours and their distance in Å.
Fractional positions:
Sr (0.0000, 0.0000, 0.3750)  6 Sb 3.27, 2 Sr 3.51
Ca (0.5000, 0.5000, 0.8749)  6 Sb 3.27, 2 Ca 3.51
Sb (0.5000, 0.5000, 0.3750)  2 Ca 3.27, 4 Sr 3.27, 2 Sb 3.51
Sb (0.0000, 0.0000, 0.8750)  2 Sr 3.27, 4 Ca 3.27, 2 Sb 3.51

## Properties
Crystal system: orthorhombic
Distance to the lowest polymorph of the same formula in eV per formula unit: 0.40
DOS(E_F) in states/eV/cell: 1.89
ΔE_f (raw) in meV/atom: -842.2

(18)
VASP calculation (SCAN) on a PBEsol-optimized structure of Cr3CdF.

a b c (Å): 5.0724 5.0724 5.0724
angles (deg): 90.00 90.00 90.00
Last column: nearest neighbours and their distance in Å.
Fractional positions:
Cd (0.0000, 0.0000, 0.0000)  6 Cr 2.54
Cr (0.0000, 0.5000, 0.0000)  2 Cd 2.54
Cr (0.5000, 0.0000, 0.0000)  2 Cd 2.54
F (0.5000, 0.5000, 0.5000)  12 Cr 3.59
Cr (0.0000, 0.0000, 0.5000)  2 Cd 2.54

## Properties
Crystal system: cubic
DOS(E_F) in states/eV/cell: 2.32
ΔE_f (raw) in meV/atom: 928.4

(19)
VASP calculation (SCAN) on a PBEsol-optimized structure of SiSe2Br.

a b c (Å): 3.8312 3.8312 6.4448
angles (deg): 107.29 107.29 90.00
Last column: nearest neighbours and their distance in Å.
Fractional positions:
Se (0.7500, 0.2500, 0.5000)  4 Se 2.71
Si (0.5000, 0.5000, 0.0000)  4 Br 2.71
Se (0.2500, 0.7500, 0.5000)  4 Se 2.71
Br (0.0000, 0.0000, 0.0000)  4 Si 2.71

## Properties
Crystal system: tetragonal
Distance to the lowest polymorph of the same formula in eV per formula unit: 0.09
DOS(E_F) in states/eV/cell: 1.50
ΔE_f (raw) in meV/atom: 467.5

(20)
VASP calculation (SCAN) on a PBEsol-optimized structure of KHfPt2.

a b c (Å): 4.7462 4.7462 4.7462
angles (deg): 60.00 60.00 60.00
Last column: nearest neighbours and their distance in Å.
Fractional positions:
Hf (0.5000, 0.5000, 0.5000)  8 Pt 2.91
Pt (0.7500, 0.7500, 0.7500)  4 Hf 2.91, 4 K 2.91
K (0.0000, 0.0000, 0.0000)  8 Pt 2.91
Pt (0.2500, 0.2500, 0.2500)  4 Hf 2.91, 4 K 2.91

## Properties
Crystal system: cubic
Formation energy from the elements in kJ/mol of formula units: -97.8
DOS(E_F) in states/eV/cell: 1.49

Number 1: size of the total moment 7.3 μB per formula unit, uncorrected energy -26.12 eV per atom. Number 2: size of the total moment 0.0 μB per formula unit, uncorrected energy -25.16 eV per atom. Number 3: size of the total moment 6.2 μB per formula unit, uncorrected energy -21.90 eV per atom. Number 4: size of the total moment 3.1 μB per formula unit, uncorrected energy -11.15 eV per atom. Number 5: size of the total moment 0.0 μB per formula unit, uncorrected energy -56.97 eV per atom. Number 6: size of the total moment 1.0 μB per formula unit, uncorrected energy -10.22 eV per atom. Number 7: size of the total moment 0.0 μB per formula unit, uncorrected energy -31.63 eV per atom. Number 8: size of the total moment 0.0 μB per formula unit, uncorrected energy -46.44 eV per atom. Number 9: size of the total moment 0.0 μB per formula unit, uncorrected energy -19.75 eV per atom. Number 10: size of the total moment 0.0 μB per formula unit, uncorrected energy -40.48 eV per atom. Number 11: size of the total moment 0.0 μB per formula unit, uncorrected energy -63.17 eV per atom. Number 12: size of the total moment 1.2 μB per formula unit, uncorrected energy -18.43 eV per atom. Number 13: size of the total moment 0.0 μB per formula unit, uncorrected energy -11.32 eV per atom. Number 14: size of the total moment 0.0 μB per formula unit, uncorrected energy -38.46 eV per atom. Number 15: size of the total moment 3.1 μB per formula unit, uncorrected energy -21.88 eV per atom. Number 16: size of the total moment 0.0 μB per formula unit, uncorrected energy -21.33 eV per atom. Number 17: size of the total moment 0.0 μB per formula unit, uncorrected energy -27.46 eV per atom. Number 18: size of the total moment 14.3 μB per formula unit, uncorrected energy -16.89 eV per atom. Number 19: size of the total moment 0.0 μB per formula unit, uncorrected energy -16.94 eV per atom. Number 20: size of the total moment 0.0 μB per formula unit, uncorrected energy -53.10 eV per atom.